[1]
Er4SnPb3 | PBE-GGA | relaxed

a = 11.0053 Å, b = 6.3412 Å, c = 6.3411 Å
α = 90.00°, β = 90.00°, γ = 90.00°
Atoms (fractional coordinates):
Er 0.0000 0.0000 0.0000
Er 0.0000 0.5000 0.5000
Er 0.2500 0.2450 0.2500
Er 0.2500 0.7550 0.7500
Er 0.5000 0.0000 0.5000
Er 0.5000 0.5000 0.0000
Er 0.7500 0.2450 0.2500
Er 0.7500 0.7550 0.7500
Sn 0.0000 0.0000 0.5000
Sn 0.5000 0.0000 0.0000
Pb 0.0000 0.5000 0.0000
Pb 0.2500 0.2527 0.7500
Pb 0.2500 0.7473 0.2500
Pb 0.5000 0.5000 0.5000
Pb 0.7500 0.2527 0.7500
Pb 0.7500 0.7473 0.2500

raw total energy = -4.630 eV/atom
calculated density = 10.577 g cm⁻³

---

[2]
Y12Hf5In3 | PBE-GGA | relaxed

a = 15.3375 Å, b = 15.3375 Å, c = 15.3375 Å
α = 109.47°, β = 109.47°, γ = 109.47°
Atoms (fractional coordinates):
Y 0.0579 0.2245 0.1343
Y 0.0579 0.3334 0.9236
Y 0.0764 0.6343 0.4098
Y 0.0764 0.9421 0.6666
Y 0.0902 0.7245 0.6666
Y 0.0902 0.8657 0.4236
Y 0.1343 0.0579 0.2245
Y 0.1343 0.5764 0.9098
Y 0.1666 0.2245 0.5902
Y 0.1666 0.4421 0.5764
Y 0.2245 0.1343 0.0579
Y 0.2245 0.5902 0.1666
Y 0.2755 0.3334 0.9098
Y 0.2755 0.4421 0.3657
Y 0.3334 0.9098 0.2755
Y 0.3334 0.9236 0.0579
Y 0.3657 0.2755 0.4421
Y 0.3657 0.5902 0.9236
Y 0.4098 0.0764 0.6343
Y 0.4098 0.8334 0.7755
Y 0.4236 0.0902 0.8657
Y 0.4236 0.8334 0.5579
Y 0.4421 0.3657 0.2755
Y 0.4421 0.5764 0.1666
Y 0.5579 0.4236 0.8334
Y 0.5579 0.6343 0.7245
Y 0.5764 0.1666 0.4421
Y 0.5764 0.9098 0.1343
Y 0.5902 0.1666 0.2245
Y 0.5902 0.9236 0.3657
Y 0.6343 0.4098 0.0764
Y 0.6343 0.7245 0.5579
Y 0.6666 0.0764 0.9421
Y 0.6666 0.0902 0.7245
Y 0.7245 0.5579 0.6343
Y 0.7245 0.6666 0.0902
Y 0.7755 0.4098 0.8334
Y 0.7755 0.8657 0.9421
Y 0.8334 0.5579 0.4236
Y 0.8334 0.7755 0.4098
Y 0.8657 0.4236 0.0902
Y 0.8657 0.9421 0.7755
Y 0.9098 0.1343 0.5764
Y 0.9098 0.2755 0.3334
Y 0.9236 0.0579 0.3334
Y 0.9236 0.3657 0.5902
Y 0.9421 0.6666 0.0764
Y 0.9421 0.7755 0.8657
Hf 0.0000 0.0000 0.0000
Hf 0.0000 0.0000 0.5000
Hf 0.0000 0.5000 0.0000
Hf 0.0000 0.5000 0.5000
Hf 0.1250 0.7500 0.8750
Hf 0.1250 0.8750 0.2500
Hf 0.2500 0.1250 0.8750
Hf 0.2500 0.6250 0.3750
Hf 0.3750 0.2500 0.6250
Hf 0.3750 0.6250 0.7500
Hf 0.5000 0.0000 0.0000
Hf 0.5000 0.0000 0.5000
Hf 0.5000 0.5000 0.0000
Hf 0.5000 0.5000 0.5000
Hf 0.6250 0.3750 0.2500
Hf 0.6250 0.7500 0.3750
Hf 0.7500 0.3750 0.6250
Hf 0.7500 0.8750 0.1250
Hf 0.8750 0.1250 0.7500
Hf 0.8750 0.2500 0.1250
In 0.1250 0.2500 0.3750
In 0.1250 0.3750 0.7500
In 0.2500 0.3750 0.1250
In 0.2500 0.8750 0.6250
In 0.3750 0.1250 0.2500
In 0.3750 0.7500 0.1250
In 0.6250 0.2500 0.8750
In 0.6250 0.8750 0.7500
In 0.7500 0.1250 0.3750
In 0.7500 0.6250 0.8750
In 0.8750 0.6250 0.2500
In 0.8750 0.7500 0.6250

raw total energy = -5.785 eV/atom
calculated density = 5.509 g cm⁻³

---

no.,magnetic moment (Bohr magnetons per cell)
1,0.0
2,13.4